# PBE CeDy2Tc, relaxed
# Energy of formation, eV per atom: -0.128
# E_tot, eV per atom: -6.5039
data_CeDy2Tc
_space_group_name_H-M_alt 'C m c m'
_space_group_IT_number 63
_space_group_name_Hall '-C 2c 2'
_cell_length_a 3.843
_cell_length_b 11.840
_cell_length_c 9.529
_cell_angle_alpha 90.00
_cell_angle_beta 90.00
_cell_angle_gamma 90.00
loop_
_atom_site_label
_atom_site_type_symbol
_atom_site_fract_x
_atom_site_fract_y
_atom_site_fract_z
Ce1 Ce 0.000 0.084 0.250
Dy1 Dy 0.000 0.357 0.072
Tc1 Tc 0.000 0.279 0.750